[1]
The following is a DFT calculation (PBE) of GdTmRh2 after structural relaxation.

The structure in CIF format:
```
data_GdTmRh2
_cell_length_a 4.835
_cell_length_b 4.836
_cell_length_c 4.836
_cell_angle_alpha 60.00
_cell_angle_beta 60.00
_cell_angle_gamma 60.00
_space_group_name_H-M_alt 'P 1'
_space_group_IT_number 1
loop_
_space_group_symop_operation_xyz
'x,y,z'
loop_
_atom_site_label
_atom_site_fract_x
_atom_site_fract_y
_atom_site_fract_z
Gd1 0.250 0.250 0.250
Tm1 0.750 0.750 0.750
Rh1 0.000 0.000 0.000
Rh2 0.500 0.500 0.500
```

E_form: -0.8737 eV per atom
Magnetic moment: 1.76 μB per atom
SG: Fm-3m
Final energy: -36.8 eV per cell
V: 79.9 Å³ per cell

***

[2]
The following is a DFT calculation (PBE) of Sb2TeHOs after structural relaxation.

The structure in CIF format:
```
data_Sb2TeHOs
_cell_length_a 5.062
_cell_length_b 5.062
_cell_length_c 5.516
_cell_angle_alpha 90.00
_cell_angle_beta 90.00
_cell_angle_gamma 90.00
_space_group_name_H-M_alt 'P 1'
_space_group_IT_number 1
loop_
_space_group_symop_operation_xyz
'x,y,z'
loop_
_atom_site_label
_atom_site_fract_x
_atom_site_fract_y
_atom_site_fract_z
Sb1 0.000 0.500 0.000
Sb2 0.500 0.000 0.000
Te1 0.000 0.000 0.500
Os1 0.000 0.000 0.000
H1 0.500 0.500 0.500
```

Magnetic moment: 0.00 μB per atom
SG: P4/mmm
Excess energy over the best structure of this formula in the dataset: 39 meV per atom
Final energy: -20.6 eV per cell
V: 141.3 Å³ per cell

***

[3]
The following is a DFT calculation (PBE) of ZnRe2Ni after structural relaxation.

The structure in CIF format:
```
data_ZnRe2Ni
_cell_length_a 8.871
_cell_length_b 8.871
_cell_length_c 8.871
_cell_angle_alpha 17.61
_cell_angle_beta 17.61
_cell_angle_gamma 17.61
_space_group_name_H-M_alt 'P 1'
_space_group_IT_number 1
loop_
_space_group_symop_operation_xyz
'x,y,z'
loop_
_atom_site_label
_atom_site_fract_x
_atom_site_fract_y
_atom_site_fract_z
Ni1 0.750 0.750 0.750
Re1 0.004 0.004 0.004
Re2 0.496 0.496 0.496
Zn1 0.250 0.250 0.250
```

E_form: 0.2121 eV per atom
Magnetic moment: 0.00 μB per atom
SG: R-3m
Final energy: -31.1 eV per cell
V: 55.7 Å³ per cell

***

[4]
The following is a DFT calculation (PBE) of HoCdInRh after structural relaxation.

The structure in CIF format:
```
data_HoCdInRh
_cell_length_a 4.883
_cell_length_b 4.883
_cell_length_c 4.883
_cell_angle_alpha 60.00
_cell_angle_beta 60.00
_cell_angle_gamma 60.00
_space_group_name_H-M_alt 'P 1'
_space_group_IT_number 1
loop_
_space_group_symop_operation_xyz
'x,y,z'
loop_
_atom_site_label
_atom_site_fract_x
_atom_site_fract_y
_atom_site_fract_z
Cd1 0.750 0.750 0.750
Rh1 0.250 0.250 0.250
Ho1 0.500 0.500 0.500
In1 0.000 0.000 0.000
```

E_form: -0.4077 eV per atom
Magnetic moment: 0.00 μB per atom
SG: F-43m
Final energy: -17.2 eV per cell
V: 82.3 Å³ per cell

***

[5]
The following is a DFT calculation (PBE) of Sm2Zn6Ga3 after structural relaxation.

The structure in CIF format:
```
data_Sm2Zn6Ga3
_cell_length_a 4.076
_cell_length_b 7.684
_cell_length_c 7.684
_cell_angle_alpha 120.00
_cell_angle_beta 90.00
_cell_angle_gamma 90.00
_space_group_name_H-M_alt 'P 1'
_space_group_IT_number 1
loop_
_space_group_symop_operation_xyz
'x,y,z'
loop_
_atom_site_label
_atom_site_fract_x
_atom_site_fract_y
_atom_site_fract_z
Sm1 0.000 0.667 0.333
Sm2 0.000 0.333 0.667
Zn1 0.500 0.711 0.711
Zn2 0.500 0.000 0.289
Zn3 0.000 0.190 0.190
Zn4 0.000 0.810 0.000
Zn5 0.500 0.289 0.000
Zn6 0.000 0.000 0.810
Ga1 0.500 0.381 0.381
Ga2 0.500 0.619 0.000
Ga3 0.500 0.000 0.619
```

E_form: -0.3577 eV per atom
Magnetic moment: 0.00 μB per atom
SG: P-62m
Final energy: -30.1 eV per cell
V: 208.4 Å³ per cell

***

[6]
The following is a DFT calculation (PBE) of Mg3ScBr after structural relaxation.

The structure in CIF format:
```
data_Mg3ScBr
_cell_length_a 5.951
_cell_length_b 5.951
_cell_length_c 5.951
_cell_angle_alpha 90.00
_cell_angle_beta 90.00
_cell_angle_gamma 90.00
_space_group_name_H-M_alt 'P 1'
_space_group_IT_number 1
loop_
_space_group_symop_operation_xyz
'x,y,z'
loop_
_atom_site_label
_atom_site_fract_x
_atom_site_fract_y
_atom_site_fract_z
Sc1 0.000 0.000 0.000
Mg1 0.000 0.500 0.000
Mg2 0.000 0.000 0.500
Mg3 0.500 0.000 0.000
Br1 0.500 0.500 0.500
```

Magnetic moment: 0.00 μB per atom
SG: Pm-3m
Excess energy over the best structure of this formula in the dataset: 287 meV per atom
Final energy: -9.5 eV per cell
V: 210.8 Å³ per cell

***

Q: The lowest V belongs to which entry?
A: ZnRe2Ni

***

Q: Which formula does entry 4 have?
A: HoCdInRh

***

Q: Which value of final energy does entry 6 give?
A: -9.5 eV per cell

***

Repeat the sixth record exactly.
The following is a DFT calculation (PBE) of Mg3ScBr after structural relaxation.

The structure in CIF format:
```
data_Mg3ScBr
_cell_length_a 5.951
_cell_length_b 5.951
_cell_length_c 5.951
_cell_angle_alpha 90.00
_cell_angle_beta 90.00
_cell_angle_gamma 90.00
_space_group_name_H-M_alt 'P 1'
_space_group_IT_number 1
loop_
_space_group_symop_operation_xyz
'x,y,z'
loop_
_atom_site_label
_atom_site_fract_x
_atom_site_fract_y
_atom_site_fract_z
Sc1 0.000 0.000 0.000
Mg1 0.000 0.500 0.000
Mg2 0.000 0.000 0.500
Mg3 0.500 0.000 0.000
Br1 0.500 0.500 0.500
```

Magnetic moment: 0.00 μB per atom
SG: Pm-3m
Excess energy over the best structure of this formula in the dataset: 287 meV per atom
Final energy: -9.5 eV per cell
V: 210.8 Å³ per cell